Ba2La3Ti2Cr3O15 | PBE+U | optimized geometry

Computed properties:
Total moment: 9.0 μB/f.u.
Total energy: -0.5957 Ry/atom

Cell: 14.2375 14.2375 3.9722 Å, 90.00 90.00 157.13°
Element x y z (fractional)
Ba (0.1985, 0.8015, 0.0000)
Ba (0.8015, 0.1985, 0.0000)
La (0.0000, 0.0000, 0.0000)
La (0.4035, 0.5965, 0.0000)
La (0.5965, 0.4035, 0.0000)
Ti (0.3019, 0.6981, 0.5000)
Ti (0.6981, 0.3019, 0.5000)
Cr (0.0990, 0.9010, 0.5000)
Cr (0.5000, 0.5000, 0.5000)
Cr (0.9010, 0.0990, 0.5000)
O (0.0000, 0.5000, 0.5000)
O (0.0939, 0.9061, 0.0000)
O (0.1174, 0.4115, 0.5000)
O (0.2020, 0.3012, 0.5000)
O (0.3012, 0.2020, 0.5000)
O (0.3037, 0.6963, 0.0000)
O (0.4115, 0.1174, 0.5000)
O (0.5000, 0.0000, 0.5000)
O (0.5000, 0.5000, 0.0000)
O (0.5885, 0.8826, 0.5000)
O (0.6963, 0.3037, 0.0000)
O (0.6988, 0.7980, 0.5000)
O (0.7980, 0.6988, 0.5000)
O (0.8826, 0.5885, 0.5000)
O (0.9061, 0.0939, 0.0000)